## w
Below is a geometry-optimized Co2SnSb2 structure, with properties calculated at the PBE level.

Computed properties:
As for the space group: P4/mbm (127).

```
Co2SnSb2
1.0
7.632 0.000 0.000
0.000 7.632 0.000
0.000 0.000 3.158
Co Sn Sb
4 2 4
Direct
0.131 0.369 0.000
0.369 0.869 0.000
0.631 0.131 0.000
0.869 0.631 0.000
0.000 0.000 0.000
0.500 0.500 0.000
0.153 0.653 0.500
0.347 0.153 0.500
0.653 0.847 0.500
0.847 0.347 0.500
```

## x
Below is a geometry-optimized Co2SnSb2 structure, with properties calculated at the PBE level.

Computed properties:
As for the space group: I4/mmm (139).

```
Co2SnSb2
1.0
-2.301 2.301 4.803
2.301 -2.301 4.803
2.301 2.301 -4.803
Co Sn Sb
2 1 2
Direct
0.120 0.120 0.000
0.880 0.880 0.000
0.500 0.500 0.000
0.250 0.750 0.500
0.750 0.250 0.500
```

## y
Below is a geometry-optimized Co2SnSb2 structure, with properties calculated at the PBE level.

Computed properties:
As for the space group: I4/mmm (139).

```
Co2SnSb2
1.0
-2.169 2.169 5.466
2.169 -2.169 5.466
2.169 2.169 -5.466
Co Sn Sb
2 1 2
Direct
0.250 0.750 0.500
0.750 0.250 0.500
0.000 0.000 0.000
0.363 0.363 0.000
0.637 0.637 0.000
```

Stability check: which of them is most stable? y.

## w
Below is a geometry-optimized Co2SnSb structure, with properties calculated at the PBE level.

Computed properties:
As for the space group: I-42d (122).

```
Co2SnSb
1.0
-3.427 3.427 3.077
3.427 -3.427 3.077
3.427 3.427 -3.077
Co Sn Sb
4 2 2
Direct
0.114 0.625 0.989
0.375 0.364 0.489
0.636 0.125 0.011
0.875 0.886 0.511
0.250 0.750 0.500
0.500 0.500 0.000
0.000 0.000 0.000
0.750 0.250 0.500
```

## x
Below is a geometry-optimized Co2SnSb structure, with properties calculated at the PBE level.

Computed properties:
As for the space group: Fm-3m (225).

```
Co2SnSb
1.0
0.000 3.175 3.175
3.175 0.000 3.175
3.175 3.175 0.000
Co Sn Sb
2 1 1
Direct
0.250 0.250 0.250
0.750 0.750 0.750
0.000 0.000 0.000
0.500 0.500 0.500
```

Stability check: which of them is most stable? x.

## w
Below is a geometry-optimized Co2Sn2Sb structure, with properties calculated at the PBE level.

Computed properties:
As for the space group: P4/mbm (127).

```
Co2Sn2Sb
1.0
7.576 0.000 0.000
0.000 7.576 0.000
0.000 0.000 3.100
Co Sn Sb
4 4 2
Direct
0.145 0.355 0.000
0.355 0.855 0.000
0.645 0.145 0.000
0.855 0.645 0.000
0.150 0.650 0.500
0.350 0.150 0.500
0.650 0.850 0.500
0.850 0.350 0.500
0.000 0.000 0.000
0.500 0.500 0.000
```

## x
Below is a geometry-optimized Co2Sn2Sb structure, with properties calculated at the PBE level.

Computed properties:
As for the space group: P2_1/m (11).

```
Co2Sn2Sb
1.0
5.214 0.000 0.000
0.000 3.995 0.000
-0.663 0.000 9.075
Co Sn Sb
4 4 2
Direct
0.151 0.250 0.475
0.263 0.250 0.164
0.737 0.750 0.836
0.849 0.750 0.525
0.263 0.750 0.961
0.390 0.750 0.619
0.610 0.250 0.381
0.737 0.250 0.039
0.080 0.750 0.291
0.920 0.250 0.709
```

Stability check: which of them is most stable? x.